# Th3TcAu2 PBE-GGA relaxed
data_Th3TcAu2
_chemical_formula_sum 'Th12 Tc4 Au8'
_space_group_name_H-M_alt 'C 1 2/c 1'
_space_group_IT_number 15
_cell_length_a 14.475
_cell_length_b 5.899
_cell_length_c 7.380
_cell_angle_alpha 90.00
_cell_angle_beta 102.28
_cell_angle_gamma 90.00
loop_
_space_group_symop_operation_xyz
'x,y,z'
'-x,-y,-z'
'-x,y,-z+1/2'
'x,-y,z+1/2'
'x+1/2,y+1/2,z'
'-x+1/2,-y+1/2,-z'
'-x+1/2,y+1/2,-z+1/2'
'x+1/2,-y+1/2,z+1/2'
loop_
_atom_site_label
_atom_site_type_symbol
_atom_site_fract_x
_atom_site_fract_y
_atom_site_fract_z
Th1 Th 0.000 0.138 0.250
Th2 Th 0.163 0.394 0.639
Tc1 Tc 0.000 0.366 0.750
Au1 Au 0.162 0.110 0.010
# E_tot = -167.237 eV per cell
# size of the total moment = 0.00 μB/cell
# formation energy from the elements = -0.438 eV/atom

---

# Er6Sc3Cd PBE-GGA relaxed
data_Er6Sc3Cd
_chemical_formula_sum 'Er24 Sc12 Cd4'
_space_group_name_H-M_alt 'C m c 21'
_space_group_IT_number 36
_cell_length_a 10.431
_cell_length_b 17.969
_cell_length_c 6.023
_cell_angle_alpha 90.00
_cell_angle_beta 90.00
_cell_angle_gamma 90.00
loop_
_space_group_symop_operation_xyz
'x,y,z'
'-x,-y,z+1/2'
'-x,y,z'
'x,-y,z+1/2'
'x+1/2,y+1/2,z'
'-x+1/2,-y+1/2,z+1/2'
'-x+1/2,y+1/2,z'
'x+1/2,-y+1/2,z+1/2'
loop_
_atom_site_label
_atom_site_type_symbol
_atom_site_fract_x
_atom_site_fract_y
_atom_site_fract_z
Er1 Er 0.000 0.050 0.000
Er2 Er 0.000 0.269 0.241
Er3 Er 0.166 0.451 0.370
Er4 Er 0.223 0.285 0.590
Sc1 Sc 0.000 0.391 0.848
Sc2 Sc 0.162 0.109 0.448
Cd1 Cd 0.000 0.201 0.779
# E_tot = -186.011 eV per cell
# size of the total moment = 1.66 μB/cell
# formation energy from the elements = 0.078 eV/atom